PBE-GGA CaCdSiPd2, relaxed; E = -20.4 eV/cell; calculated density = 6.07 g cm⁻³; magnetic moment = 0.00 μB per formula unit; SG = P4/mmm (123)
1.0
4.704 0.000 0.000
0.000 4.704 0.000
0.000 0.000 4.860
Ca Cd Si Pd
1 1 1 2
direct
0.000 0.000 0.000
0.500 0.500 0.000
0.500 0.500 0.500
0.000 0.500 0.500
0.500 0.000 0.500

PBE-GGA CaCdSi2Pd5, relaxed; E = -44.7 eV/cell; calculated density = 7.92 g cm⁻³; magnetic moment = 0.00 μB per formula unit; SG = P4/mmm (123)
1.0
4.305 0.000 0.000
0.000 4.305 0.000
0.000 0.000 8.383
Ca Cd Si Pd
1 1 2 5
direct
0.000 0.000 0.000
0.000 0.000 0.500
0.500 0.500 0.362
0.500 0.500 0.638
0.000 0.500 0.243
0.000 0.500 0.757
0.500 0.000 0.243
0.500 0.000 0.757
0.500 0.500 0.000

PBE-GGA Ca2CdSi2Pd5, relaxed; E = -97.3 eV/cell; calculated density = 7.13 g cm⁻³; magnetic moment = 0.00 μB per formula unit; SG = P4/mbm (127)
1.0
10.185 0.000 0.000
0.000 10.185 0.000
0.000 0.000 3.506
Ca Cd Si Pd
4 2 4 10
direct
0.176 0.324 0.000
0.324 0.824 0.000
0.676 0.176 0.000
0.824 0.676 0.000
0.000 0.000 0.000
0.500 0.500 0.000
0.123 0.623 0.000
0.377 0.123 0.000
0.623 0.877 0.000
0.877 0.377 0.000
0.000 0.500 0.500
0.067 0.782 0.500
0.218 0.067 0.500
0.282 0.567 0.500
0.433 0.282 0.500
0.500 0.000 0.500
0.567 0.718 0.500
0.718 0.433 0.500
0.782 0.933 0.500
0.933 0.218 0.500

PBE-GGA CaCd2SnPd2, relaxed; ΔE_f = -0.256 eV/atom; calculated density = 6.49 g cm⁻³; magnetic moment = 0.00 μB per formula unit; SG = P4/mmm (123)
1.0
5.024 0.000 0.000
0.000 5.024 0.000
0.000 0.000 6.049
Ca Cd Sn Pd
1 2 1 2
direct
0.000 0.000 0.000
0.500 0.500 0.241
0.500 0.500 0.759
0.000 0.000 0.500
0.000 0.500 0.500
0.500 0.000 0.500

PBE-GGA CaCdSn2Pd4, relaxed; ΔE_f = -0.575 eV/atom; calculated density = 9.08 g cm⁻³; magnetic moment = 0.00 μB per formula unit; SG = R-3m (166)
1.0
2.369 1.368 7.676
-2.369 1.368 7.676
0.000 -2.735 7.676
Ca Cd Sn Pd
1 1 2 4
direct
0.000 0.000 0.000
0.500 0.500 0.500
0.251 0.251 0.251
0.749 0.749 0.749
0.129 0.129 0.129
0.380 0.380 0.380
0.620 0.620 0.620
0.871 0.871 0.871

PBE-GGA Ca2CdSn3Pd4, relaxed; ΔE_f = -0.636 eV/atom; calculated density = 7.10 g cm⁻³; magnetic moment = 0.00 μB per formula unit; SG = P-4m2 (115)
1.0
4.567 0.000 0.000
0.000 4.567 0.000
0.000 0.000 10.930
Ca Cd Sn Pd
2 1 3 4
direct
0.000 0.500 0.242
0.500 0.000 0.758
0.000 0.000 0.500
0.000 0.500 0.875
0.500 0.000 0.125
0.500 0.500 0.500
0.000 0.000 0.000
0.000 0.500 0.637
0.500 0.000 0.363
0.500 0.500 0.000